NdHgPd | PBE | relaxed

Geometry as CIF:
```
data_NdHgPd
_chemical_formula_sum 'Nd1 Hg1 Pd1'
_cell_length_a 4.8096
_cell_length_b 4.8096
_cell_length_c 4.8096
_cell_angle_alpha 60.00
_cell_angle_beta 60.00
_cell_angle_gamma 60.00
_space_group_name_H-M_alt 'P 1'
_space_group_IT_number 1
loop_
_space_group_symop_operation_xyz
'x,y,z'
loop_
_atom_site_label
_atom_site_type_symbol
_atom_site_fract_x
_atom_site_fract_y
_atom_site_fract_z
Hg1 Hg 0.0000 0.0000 0.0000
Pd1 Pd 0.2500 0.2500 0.2500
Nd1 Nd 0.5000 0.5000 0.5000
```

ΔE_f: -0.57 eV/atom
SG: F-43m
density: 9.5 Mg/m³
E: -3.99 eV per atom
crystal system: cubic


NdHgPd2 | PBE | relaxed

Geometry as CIF:
```
data_NdHgPd2
_chemical_formula_sum 'Nd1 Hg1 Pd2'
_cell_length_a 3.9743
_cell_length_b 4.5768
_cell_length_c 4.5768
_cell_angle_alpha 90.00
_cell_angle_beta 90.00
_cell_angle_gamma 90.00
_space_group_name_H-M_alt 'P 1'
_space_group_IT_number 1
loop_
_space_group_symop_operation_xyz
'x,y,z'
loop_
_atom_site_label
_atom_site_type_symbol
_atom_site_fract_x
_atom_site_fract_y
_atom_site_fract_z
Pd1 Pd 0.0000 0.0000 0.5000
Hg1 Hg 0.5000 0.0000 0.0000
Nd1 Nd 0.5000 0.5000 0.5000
Pd2 Pd 0.0000 0.5000 0.0000
```

ΔE_f: -0.52 eV/atom
SG: P4/mmm
density: 11.1 Mg/m³
E: -4.38 eV per atom
crystal system: tetragonal


NdHgPd2 | PBE | relaxed

Geometry as CIF:
```
data_NdHgPd2
_chemical_formula_sum 'Nd1 Hg1 Pd2'
_cell_length_a 3.6789
_cell_length_b 3.6789
_cell_length_c 6.2020
_cell_angle_alpha 90.00
_cell_angle_beta 90.00
_cell_angle_gamma 90.00
_space_group_name_H-M_alt 'P 1'
_space_group_IT_number 1
loop_
_space_group_symop_operation_xyz
'x,y,z'
loop_
_atom_site_label
_atom_site_type_symbol
_atom_site_fract_x
_atom_site_fract_y
_atom_site_fract_z
Pd1 Pd 0.0000 0.0000 0.2654
Nd1 Nd 0.5000 0.5000 0.0000
Hg1 Hg 0.5000 0.5000 0.5000
Pd2 Pd 0.0000 0.0000 0.7346
```

ΔE_f: -0.53 eV/atom
SG: P4/mmm
density: 11.0 Mg/m³
E: -4.40 eV per atom
crystal system: tetragonal


Please write out number 3 again, unchanged.
NdHgPd2 | PBE | relaxed

Geometry as CIF:
```
data_NdHgPd2
_chemical_formula_sum 'Nd1 Hg1 Pd2'
_cell_length_a 3.6789
_cell_length_b 3.6789
_cell_length_c 6.2020
_cell_angle_alpha 90.00
_cell_angle_beta 90.00
_cell_angle_gamma 90.00
_space_group_name_H-M_alt 'P 1'
_space_group_IT_number 1
loop_
_space_group_symop_operation_xyz
'x,y,z'
loop_
_atom_site_label
_atom_site_type_symbol
_atom_site_fract_x
_atom_site_fract_y
_atom_site_fract_z
Pd1 Pd 0.0000 0.0000 0.2654
Nd1 Nd 0.5000 0.5000 0.0000
Hg1 Hg 0.5000 0.5000 0.5000
Pd2 Pd 0.0000 0.0000 0.7346
```

ΔE_f: -0.53 eV/atom
SG: P4/mmm
density: 11.0 Mg/m³
E: -4.40 eV per atom
crystal system: tetragonal


Question: Look up the density of the third one.
Answer: 11.0 Mg/m³


Question: The highest E belongs to which entry?
Answer: NdHgPd


Copy entry 1 word for word.
NdHgPd | PBE | relaxed

Geometry as CIF:
```
data_NdHgPd
_chemical_formula_sum 'Nd1 Hg1 Pd1'
_cell_length_a 4.8096
_cell_length_b 4.8096
_cell_length_c 4.8096
_cell_angle_alpha 60.00
_cell_angle_beta 60.00
_cell_angle_gamma 60.00
_space_group_name_H-M_alt 'P 1'
_space_group_IT_number 1
loop_
_space_group_symop_operation_xyz
'x,y,z'
loop_
_atom_site_label
_atom_site_type_symbol
_atom_site_fract_x
_atom_site_fract_y
_atom_site_fract_z
Hg1 Hg 0.0000 0.0000 0.0000
Pd1 Pd 0.2500 0.2500 0.2500
Nd1 Nd 0.5000 0.5000 0.5000
```

ΔE_f: -0.57 eV/atom
SG: F-43m
density: 9.5 Mg/m³
E: -3.99 eV per atom
crystal system: cubic